[1]
DFT (PBE-GGA) results for a relaxed LiGaCu2 crystal.

POSCAR file:
```
LiGaCu2
1.0
5.873 0.000 0.000
0.000 5.873 0.000
0.000 0.000 5.873
Li Ga Cu
4 4 8
Direct
0.000 0.000 0.000 Li
0.000 0.000 0.500 Li
0.000 0.500 0.000 Li
0.500 0.000 0.000 Li
0.000 0.500 0.500 Ga
0.500 0.000 0.500 Ga
0.500 0.500 0.000 Ga
0.500 0.500 0.500 Ga
0.246 0.246 0.246 Cu
0.246 0.246 0.754 Cu
0.246 0.754 0.246 Cu
0.246 0.754 0.754 Cu
0.754 0.246 0.246 Cu
0.754 0.246 0.754 Cu
0.754 0.754 0.246 Cu
0.754 0.754 0.754 Cu
```

Properties
Space group: Pm-3m, No. 221
Energy: -51.4 eV/cell

---

[2]
DFT (PBE-GGA) results for a relaxed NaGeTe2AuSe crystal.

POSCAR file:
```
NaGeTe2AuSe
1.0
2.135 -6.344 0.000
2.135 6.344 0.000
0.000 0.000 11.416
Na Ge Te Au Se
2 2 4 2 2
Direct
0.218 0.782 0.750 Na
0.782 0.218 0.250 Na
0.500 0.500 0.000 Ge
0.500 0.500 0.500 Ge
0.154 0.846 0.023 Te
0.154 0.846 0.477 Te
0.846 0.154 0.523 Te
0.846 0.154 0.977 Te
0.098 0.902 0.250 Au
0.902 0.098 0.750 Au
0.465 0.535 0.250 Se
0.535 0.465 0.750 Se
```

Properties
Space group: Cmcm, No. 63
Energy: -40.7 eV/cell

---

[3]
DFT (PBE-GGA) results for a relaxed RbNd2AgO4 crystal.

POSCAR file:
```
RbNd2AgO4
1.0
3.676 0.000 0.000
-1.838 3.184 0.000
0.000 0.000 13.597
Rb Nd Ag O
1 2 1 4
Direct
0.000 0.000 0.000 Rb
0.333 0.667 0.271 Nd
0.333 0.667 0.729 Nd
0.667 0.333 0.500 Ag
0.000 0.000 0.187 O
0.000 0.000 0.813 O
0.667 0.333 0.349 O
0.667 0.333 0.651 O
```

Properties
Total moment: 0.0 μB/cell
Space group: P-6m2, No. 187
Energy: -51.0 eV/cell

---

[4]
DFT (PBE-GGA) results for a relaxed ScFeSnOs crystal.

POSCAR file:
```
ScFeSnOs
1.0
0.000 3.230 3.230
3.230 0.000 3.230
3.230 3.230 0.000
Sc Fe Sn Os
1 1 1 1
Direct
0.000 0.000 0.000 Sc
0.500 0.500 0.500 Fe
0.250 0.250 0.250 Sn
0.750 0.750 0.750 Os
```

Properties
Total moment: 3.8 μB/cell
Space group: F-43m, No. 216
Excess energy over the best structure of this formula in the dataset: 213 meV per atom

---

[5]
DFT (PBE-GGA) results for a relaxed TbHoIn2Pd4 crystal.

POSCAR file:
```
TbHoIn2Pd4
1.0
4.596 0.000 0.000
-2.298 3.981 0.000
0.000 0.000 8.907
Tb Ho In Pd
1 1 2 4
Direct
0.000 0.000 0.000 Tb
0.667 0.333 0.500 Ho
0.333 0.667 0.251 In
0.333 0.667 0.749 In
0.000 0.000 0.338 Pd
0.000 0.000 0.662 Pd
0.667 0.333 0.164 Pd
0.667 0.333 0.836 Pd
```

Properties
Total moment: 0.0 μB/cell
Space group: P-6m2, No. 187
Energy: -42.0 eV/cell

---

[6]
DFT (PBE-GGA) results for a relaxed CdNi crystal.

POSCAR file:
```
CdNi
1.0
4.287 0.000 0.000
-2.144 3.713 0.000
0.000 0.000 5.391
Cd Ni
2 2
Direct
0.333 0.667 0.000 Cd
0.667 0.333 0.500 Cd
0.333 0.667 0.495 Ni
0.667 0.333 0.995 Ni
```

Properties
Total moment: 0.0 μB/cell
E_form: 0.717 eV/atom
Space group: P6_3mc, No. 186

---

[7]
DFT (PBE-GGA) results for a relaxed DyYSi2Mo2C crystal.

POSCAR file:
```
DyYSi2Mo2C
1.0
5.572 -1.908 0.000
5.572 1.908 0.000
-4.170 0.000 5.807
Dy Y Si Mo C
1 1 2 2 1
Direct
0.000 0.000 0.000 Dy
0.150 0.150 0.592 Y
0.443 0.443 0.631 Si
0.706 0.706 0.961 Si
0.369 0.369 0.211 Mo
0.781 0.781 0.380 Mo
0.575 0.575 0.295 C
```

Properties
Total moment: 0.0 μB/cell
Space group: Cm, No. 8
Energy: -57.0 eV/cell

---

[8]
DFT (PBE-GGA) results for a relaxed HfGeTe crystal.

POSCAR file:
```
HfGeTe
1.0
0.000 3.345 3.345
3.345 0.000 3.345
3.345 3.345 0.000
Hf Ge Te
1 1 1
Direct
0.000 0.000 0.000 Hf
0.250 0.250 0.250 Ge
0.500 0.500 0.500 Te
```

Properties
Total moment: 0.0 μB/cell
Space group: F-43m, No. 216
Excess energy over the best structure of this formula in the dataset: 982 meV per atom